# LiZr2In2S6, relaxed, DFT PBE
# formation energy from raw total energies	-1.107	eV per atom
# SG	C2/m
# DFT total energy	-5.584	eV/atom
# DOS at the Fermi energy	3.13	states/eV/f.u.
data_LiZr2In2S6
_chemical_formula_sum 'Li1 Zr2 In2 S6'
_cell_length_a 6.591
_cell_length_b 6.591
_cell_length_c 7.133
_cell_angle_alpha 97.71
_cell_angle_beta 97.71
_cell_angle_gamma 121.60
_space_group_name_H-M_alt 'P 1'
_space_group_IT_number 1
_space_group_name_Hall 'P 1'
loop_
_atom_site_label
_atom_site_type_symbol
_atom_site_fract_x
_atom_site_fract_y
_atom_site_fract_z
Li1 Li 0.000 0.000 0.000
Zr1 Zr 0.337 0.663 0.000
Zr2 Zr 0.663 0.337 0.000
In1 In 0.159 0.841 0.500
In2 In 0.841 0.159 0.500
S1 S 0.060 0.429 0.223
S2 S 0.266 0.266 0.799
S3 S 0.429 0.060 0.223
S4 S 0.571 0.940 0.777
S5 S 0.734 0.734 0.201
S6 S 0.940 0.571 0.777